No. 1
PBE MgPaIr, optimized geometry; energy relative to the lowest polymorph listed for this composition = 0 meV per atom; volume = 62 Å³/cell; DFT formation energy = -0.3670 eV/atom; DOS at the Fermi energy = 1.0390 states/eV/atom
1.0
-1.5897 1.5897 6.1511
1.5897 -1.5897 6.1511
1.5897 1.5897 -6.1511
Mg Pa Ir
1 1 1
direct
0.0000 0.0000 0.0000
0.2832 0.2832 0.0000
0.6394 0.6394 0.0000


No. 2
PBE MgPaIr, optimized geometry; energy relative to the lowest polymorph listed for this composition = 35 meV per atom; volume = 70 Å³/cell; DFT formation energy = -0.3315 eV/atom; DOS at the Fermi energy = 1.6793 states/eV/atom
1.0
0.0000 3.2763 3.2763
3.2763 0.0000 3.2763
3.2763 3.2763 0.0000
Mg Pa Ir
1 1 1
direct
0.0000 0.0000 0.0000
0.5000 0.5000 0.5000
0.7500 0.7500 0.7500


No. 3
PBE MgPaIr2, optimized geometry; energy relative to the lowest polymorph listed for this composition = 8 meV per atom; volume = 74 Å³/cell; DFT formation energy = -0.6319 eV/atom; DOS at the Fermi energy = 0.5086 states/eV/atom
1.0
-2.2194 2.2194 3.7367
2.2194 -2.2194 3.7367
2.2194 2.2194 -3.7367
Mg Pa Ir
1 1 2
direct
0.0000 0.0000 0.0000
0.5000 0.5000 0.0000
0.2500 0.7500 0.5000
0.7500 0.2500 0.5000


No. 4
PBE MgPa2Ir, optimized geometry; volume = 107 Å³/cell; DFT formation energy = 0.1458 eV/atom; DOS at the Fermi energy = 1.3531 states/eV/atom
1.0
1.6950 0.9786 10.7057
-1.6950 0.9786 10.7057
0.0000 -1.9572 10.7057
Mg Pa Ir
1 2 1
direct
0.0000 0.0000 0.0000
0.1046 0.1046 0.1046
0.8954 0.8954 0.8954
0.5000 0.5000 0.5000


No. 5
PBE MgPa2Ir2, optimized geometry; volume = 213 Å³/cell; DFT formation energy = -0.7283 eV/atom; DOS at the Fermi energy = 1.1274 states/eV/atom
1.0
7.6430 0.0000 0.0000
0.0000 7.6430 0.0000
0.0000 0.0000 3.6526
Mg Pa Ir
2 4 4
direct
0.0000 0.0000 0.0000
0.5000 0.5000 0.0000
0.1668 0.3332 0.5000
0.3332 0.8332 0.5000
0.6668 0.1668 0.5000
0.8332 0.6668 0.5000
0.1386 0.6386 0.0000
0.3614 0.1386 0.0000
0.6386 0.8614 0.0000
0.8614 0.3614 0.0000


No. 6
PBE MgPaIr2, optimized geometry; energy relative to the lowest polymorph listed for this composition = 30 meV per atom; volume = 75 Å³/cell; DFT formation energy = -0.6102 eV/atom; DOS at the Fermi energy = 0.7476 states/eV/atom
1.0
0.0000 3.3435 3.3435
3.3435 0.0000 3.3435
3.3435 3.3435 0.0000
Mg Pa Ir
1 1 2
direct
0.0000 0.0000 0.0000
0.5000 0.5000 0.5000
0.2500 0.2500 0.2500
0.7500 0.7500 0.7500


No. 7
PBE Mg2PaIr2, optimized geometry; volume = 104 Å³/cell; DFT formation energy = -0.5389 eV/atom; DOS at the Fermi energy = 0.6363 states/eV/atom
1.0
4.6306 0.0000 0.0000
-2.3153 4.0103 0.0000
0.0000 0.0000 5.5868
Mg Pa Ir
2 1 2
direct
0.3333 0.6667 0.3720
0.6667 0.3333 0.6280
0.0000 0.0000 0.0000
0.3333 0.6667 0.8593
0.6667 0.3333 0.1407


No. 8
PBE Mg5PaIr6, optimized geometry; volume = 195 Å³/cell; DFT formation energy = -0.5124 eV/atom; DOS at the Fermi energy = 0.2802 states/eV/atom
1.0
2.2614 -6.7116 0.0000
2.2614 6.7116 0.0000
0.0000 0.0000 6.4081
Mg Pa Ir
5 1 6
direct
0.0000 0.0000 0.0000
0.3270 0.6730 0.5000
0.3317 0.6683 0.0000
0.6683 0.3317 0.0000
0.6730 0.3270 0.5000
0.0000 0.0000 0.5000
0.1661 0.8339 0.2475
0.1661 0.8339 0.7525
0.5000 0.5000 0.2415
0.5000 0.5000 0.7585
0.8339 0.1661 0.2475
0.8339 0.1661 0.7525


No. 9
PBE MgPaIrRh, optimized geometry; volume = 74 Å³/cell; DFT formation energy = -0.6552 eV/atom; DOS at the Fermi energy = 0.9584 states/eV/atom
1.0
0.0000 3.3363 3.3363
3.3363 0.0000 3.3363
3.3363 3.3363 0.0000
Mg Pa Ir Rh
1 1 1 1
direct
0.0000 0.0000 0.0000
0.5000 0.5000 0.5000
0.7500 0.7500 0.7500
0.2500 0.2500 0.2500


No. 10
PBE MgPaSi2Ir5, optimized geometry; volume = 176 Å³/cell; DOS at the Fermi energy = 0.5689 states/eV/atom; final energy = -7.750 eV per atom
1.0
3.9121 0.0000 0.0000
0.0000 3.9121 0.0000
0.0000 0.0000 11.5070
Mg Pa Si Ir
1 1 2 5
direct
0.0000 0.0000 0.0000
0.0000 0.0000 0.5000
0.5000 0.5000 0.2013
0.5000 0.5000 0.7987
0.0000 0.5000 0.3237
0.0000 0.5000 0.6763
0.5000 0.0000 0.3237
0.5000 0.0000 0.6763
0.5000 0.5000 0.0000


No. 11
PBE Mg2Pa2SiIr4, optimized geometry; volume = 178 Å³/cell; DOS at the Fermi energy = 1.2041 states/eV/atom; final energy = -7.170 eV per atom
1.0
-3.1278 3.1278 4.5464
3.1278 -3.1278 4.5464
3.1278 3.1278 -4.5464
Mg Pa Si Ir
2 2 1 4
direct
0.2500 0.7500 0.5000
0.7500 0.2500 0.5000
0.1981 0.1981 0.0000
0.8019 0.8019 0.0000
0.5000 0.5000 0.0000
0.2342 0.2342 0.4683
0.2342 0.7658 0.0000
0.7658 0.2342 0.0000
0.7658 0.7658 0.5317


No. 12
PBE MgPaSi2Ir2, optimized geometry; volume = 103 Å³/cell; DOS at the Fermi energy = 0.8371 states/eV/atom; final energy = -7.351 eV per atom
1.0
4.2405 0.0000 0.0000
-2.1203 3.6724 0.0000
0.0000 0.0000 6.5916
Mg Pa Si Ir
1 1 2 2
direct
0.0000 0.0000 0.0000
0.0000 0.0000 0.5000
0.3333 0.6667 0.7994
0.6667 0.3333 0.2006
0.3333 0.6667 0.2259
0.6667 0.3333 0.7741


No. 13
PBE MgPaSnIr, optimized geometry; volume = 199 Å³/cell; DFT formation energy = -0.3291 eV/atom; DOS at the Fermi energy = 0.5600 states/eV/atom
1.0
3.9653 0.0000 0.0000
0.0000 3.9653 0.0000
0.0000 0.0000 12.6678
Mg Pa Sn Ir
2 2 2 2
direct
0.2500 0.7500 0.0000
0.7500 0.2500 0.0000
0.2500 0.2500 0.3891
0.7500 0.7500 0.6109
0.2500 0.2500 0.8279
0.7500 0.7500 0.1721
0.2500 0.2500 0.6155
0.7500 0.7500 0.3845


No. 14
PBE ThMgPa2Ir4, optimized geometry; volume = 166 Å³/cell; DFT formation energy = -0.7107 eV/atom; DOS at the Fermi energy = 0.7586 states/eV/atom
1.0
2.3347 1.3479 8.8036
-2.3347 1.3479 8.8036
0.0000 -2.6958 8.8036
Th Mg Pa Ir
1 1 2 4
direct
0.0000 0.0000 0.0000
0.5000 0.5000 0.5000
0.2404 0.2404 0.2404
0.7596 0.7596 0.7596
0.1248 0.1248 0.1248
0.3945 0.3945 0.3945
0.6055 0.6055 0.6055
0.8752 0.8752 0.8752


No. 15
PBE TmMgPa2Ir4, optimized geometry; volume = 158 Å³/cell; DFT formation energy = -0.7070 eV/atom; DOS at the Fermi energy = 0.8078 states/eV/atom
1.0
2.3520 1.3579 8.2698
-2.3520 1.3579 8.2698
0.0000 -2.7158 8.2698
Tm Mg Pa Ir
1 1 2 4
direct
0.0000 0.0000 0.0000
0.5000 0.5000 0.5000
0.2448 0.2448 0.2448
0.7552 0.7552 0.7552
0.1208 0.1208 0.1208
0.3887 0.3887 0.3887
0.6113 0.6113 0.6113
0.8792 0.8792 0.8792


No. 16
PBE Mg2IrPb, optimized geometry; volume = 79 Å³/cell; DFT formation energy = -0.0320 eV/atom; DOS at the Fermi energy = 0.5420 states/eV/atom
1.0
4.9676 -1.6616 0.0000
4.9676 1.6616 0.0000
-1.1788 0.0000 4.7801
Mg Ir Pb
2 1 1
direct
0.0000 0.0000 0.0000
0.2270 0.2270 0.7252
0.7249 0.7249 0.1867
0.4582 0.4582 0.4546


No. 17
PBE MgIr2Pb2, optimized geometry; energy relative to the lowest polymorph listed for this composition = 186 meV per atom; volume = 115 Å³/cell; DFT formation energy = 0.3628 eV/atom; DOS at the Fermi energy = 0.5163 states/eV/atom
1.0
-2.1961 2.1961 5.9549
2.1961 -2.1961 5.9549
2.1961 2.1961 -5.9549
Mg Ir Pb
1 2 2
direct
0.0000 0.0000 0.0000
0.3969 0.3969 0.0000
0.6031 0.6031 0.0000
0.2500 0.7500 0.5000
0.7500 0.2500 0.5000


No. 18
PBE Mg2IrPb, optimized geometry; volume = 83 Å³/cell; DFT formation energy = -0.0363 eV/atom; DOS at the Fermi energy = 0.5222 states/eV/atom
1.0
1.5966 0.9218 9.4514
-1.5966 0.9218 9.4514
0.0000 -1.8436 9.4514
Mg Ir Pb
2 1 1
direct
0.2343 0.2343 0.2343
0.7657 0.7657 0.7657
0.5000 0.5000 0.5000
0.0000 0.0000 0.0000


No. 19
PBE MgIr2Pb, optimized geometry; volume = 69 Å³/cell; DFT formation energy = 0.1025 eV/atom; DOS at the Fermi energy = 0.4932 states/eV/atom
1.0
3.2958 0.0000 0.0000
0.0000 3.2958 0.0000
0.0000 0.0000 6.3515
Mg Ir Pb
1 2 1
direct
0.0000 0.0000 0.0000
0.5000 0.5000 0.2330
0.5000 0.5000 0.7670
0.0000 0.0000 0.5000


No. 20
PBE MgIrPb, optimized geometry; volume = 57 Å³/cell; DFT formation energy = -0.0006 eV/atom; DOS at the Fermi energy = 0.3932 states/eV/atom
1.0
-1.6363 1.9242 4.5188
1.6363 -1.9242 4.5188
1.6363 1.9242 -4.5188
Mg Ir Pb
1 1 1
direct
0.0000 0.0000 0.0000
0.3561 0.3561 0.0000
0.6882 0.6882 0.0000